Entry 1:
The following is a GGA-PBE calculation of a relaxed LiCoSi crystal, from Alexandria via LeMat-Bulk.

The value obtained for the total energy is -15.1 eV for the cell shown. The calculation puts the energy relative to the elements, uncorrected at -0.230 eV/atom. The space group is P3m1 (156).

```
3
Lattice="3.868 0.000 0.000 -1.934 3.349 0.000 0.000 0.000 2.596" Properties=species:S:1:pos:R:3 pbc="T T T"
Li 0.000 2.233 0.898
Si 1.934 1.116 1.827
Co 0.000 0.000 2.467
```

***

Entry 2:
The following is a GGA-PBE calculation of a relaxed TcPdPt3 crystal, from Alexandria via LeMat-Bulk.

The value obtained for the total energy is -25.1 eV for the cell shown. As for the energy above the lowest structure with this stoichiometry: 1801 meV per atom. The space group is Pm-3m (221). For the formation energy from the elements, the calculation gives 1.716 eV/atom.

```
5
Lattice="-1.444 -4.363 -1.397 4.010 -0.496 -2.597 2.215 -1.947 3.792" Properties=species:S:1:pos:R:3 pbc="T T T"
Tc 2.390 -3.403 -0.101
Pd 0.000 0.000 0.000
Pt -0.722 -2.181 -0.698
Pt 1.107 -0.973 1.896
Pt 2.005 -0.248 -1.298
```

***

Entry 3:
The following is a GGA-PBE calculation of a relaxed Zr2BeHg crystal, from Alexandria via LeMat-Bulk.

The value obtained for the total energy is -20.7 eV for the cell shown. As for the energy above the lowest structure with this stoichiometry: 217 meV per atom. The space group is I-4m2 (119). For the formation energy from the elements, the calculation gives 0.112 eV/atom.

```
4
Lattice="5.402 -0.008 0.000 2.281 4.896 0.000 -3.841 -2.444 2.907" Properties=species:S:1:pos:R:3 pbc="T T T"
Zr 1.141 2.448 1.453
Be 3.841 2.444 0.000
Hg 2.701 -0.004 1.453
Zr 0.000 0.000 0.000
```

***

Entry 4:
The following is a GGA-PBE calculation of a relaxed CaCoS2 crystal, from Alexandria via LeMat-Bulk.

The value obtained for the total energy is -20.1 eV for the cell shown. As for the energy above the lowest structure with this stoichiometry: 228 meV per atom. The calculation puts the energy relative to the elements, uncorrected at -0.679 eV/atom. The space group is R-3m (166).

```
4
Lattice="2.427 0.000 7.103 -1.214 2.102 7.103 -1.214 -2.102 7.103" Properties=species:S:1:pos:R:3 pbc="T T T"
Co 0.000 0.000 0.000
S 0.000 0.000 19.203
S 0.000 0.000 2.106
Ca 0.000 0.000 10.654
```